Entry from Alexandria via LeMat-Bulk: an optimized crystal structure of Tb5Sm5Mg2 (PBE).

Geometry as POSCAR:
```
Tb5Sm5Mg2
1.0
7.5318 -2.5159 0.0000
7.5318 2.5159 0.0000
-5.0121 0.0000 9.9408
Tb Sm Mg
5 5 2
Direct
0.0000 0.0000 0.0000
0.0856 0.0856 0.7569
0.1663 0.1663 0.4976
0.8337 0.8337 0.5024
0.9144 0.9144 0.2431
0.2486 0.2486 0.2427
0.4190 0.4190 0.7546
0.5000 0.5000 0.5000
0.5810 0.5810 0.2454
0.7514 0.7514 0.7573
0.3317 0.3317 0.0007
0.6683 0.6683 0.9993
```

## Properties
**SG**: No. 12
**Theoretical density**: 7.03 g/cm3
**Energy**: -4.1487 eV/atom



Entry from Alexandria via LeMat-Bulk: an optimized crystal structure of TbSm4Mg (PBE).

Geometry as POSCAR:
```
TbSm4Mg
1.0
5.3443 -3.0969 0.0000
5.3443 3.0969 0.0000
-3.5559 0.0000 11.4785
Tb Sm Mg
2 8 2
Direct
0.0000 0.5000 0.0000
0.5000 0.0000 0.5000
0.1625 0.6747 0.5007
0.2524 0.4123 0.7499
0.3253 0.8375 0.9993
0.4123 0.2524 0.2499
0.5877 0.7476 0.7501
0.6747 0.1625 0.0007
0.7476 0.5877 0.2501
0.8375 0.3253 0.4993
0.0835 0.9165 0.2500
0.9165 0.0835 0.7500
```

## Properties
**SG**: No. 15
**Energy relative to the lowest polymorph listed for this composition**: 0.032 eV per atom
**Theoretical density**: 6.86 g/cm3



Entry from Alexandria via LeMat-Bulk: an optimized crystal structure of Tb4Sm2Mg (PBE).

Geometry as POSCAR:
```
Tb4Sm2Mg
1.0
11.0865 -2.8415 0.0000
11.0865 2.8415 0.0000
-0.0984 0.0000 3.5228
Tb Sm Mg
4 2 1
Direct
0.0732 0.0738 0.2429
0.3657 0.3657 0.3041
0.6343 0.6343 0.6959
0.9262 0.9268 0.7571
0.2237 0.2231 0.7604
0.7769 0.7763 0.2396
0.4990 0.5010 0.0000
```

## Properties
**SG**: No. 5
**Energy relative to the lowest polymorph listed for this composition**: 0.000 eV per atom
**Theoretical density**: 7.19 g/cm3



Number 1: total magnetic moment 0.00 μB per formula unit. Number 2: total magnetic moment 0.00 μB per formula unit. Number 3: total magnetic moment 0.00 μB per formula unit.